A geometry-optimized Be2AgPt structure. Source: Alexandria, functional PBE-GGA.

Cell lengths 5.070, 5.070, 5.070 Å; angles 147.60, 133.68, 57.65 degrees
Atoms (fractional coordinates):
Be 0.000 0.000 0.000
Be 0.756 0.256 0.500
Ag 0.490 0.490 0.000
Pt 0.214 0.714 0.500

The uncorrected energy is -4.29 eV/atom. The symmetry is Imm2. For the mass density, the calculation gives 10.64 g/cm³. Its density of states at the Fermi level is 0.183 states/eV/atom. The calculation puts the formation energy at -0.203 eV per atom. Its energy above the most stable polymorph in this dataset is 0.106 eV/atom.

=====

A geometry-optimized Be2AgPt structure. Source: Alexandria, functional PBE-GGA.

Cell lengths 4.103, 4.103, 4.103 Å; angles 60.00, 60.00, 60.00 degrees
Atoms (fractional coordinates):
Be 0.250 0.250 0.250
Be 0.750 0.750 0.750
Ag 0.000 0.000 0.000
Pt 0.500 0.500 0.500

The uncorrected energy is -4.38 eV/atom. The symmetry is Fm-3m. For the mass density, the calculation gives 10.91 g/cm³. Its density of states at the Fermi level is 0.336 states/eV/atom. The calculation puts the formation energy at -0.291 eV per atom. Its energy above the most stable polymorph in this dataset is 0.018 eV/atom.

=====

A geometry-optimized BeAgPt structure. Source: Alexandria, functional PBE-GGA.

Cell lengths 6.249, 3.740, 10.807 Å; angles 90.00, 90.62, 90.00 degrees
Atoms (fractional coordinates):
Be 0.217 0.250 0.405
Be 0.222 0.750 0.086
Be 0.275 0.250 0.753
Be 0.725 0.750 0.247
Be 0.778 0.250 0.914
Be 0.783 0.750 0.595
Ag 0.014 0.250 0.213
Ag 0.373 0.750 0.578
Ag 0.465 0.750 0.883
Ag 0.535 0.250 0.117
Ag 0.627 0.250 0.422
Ag 0.986 0.750 0.787
Pt 0.031 0.250 0.593
Pt 0.155 0.250 0.959
Pt 0.360 0.750 0.289
Pt 0.640 0.250 0.711
Pt 0.845 0.750 0.041
Pt 0.969 0.750 0.407

The uncorrected energy is -4.50 eV/atom. The symmetry is P2_1/m. For the mass density, the calculation gives 12.31 g/cm³. Its density of states at the Fermi level is 0.213 states/eV/atom. The calculation puts the formation energy at -0.299 eV per atom. Its energy above the most stable polymorph in this dataset is 0.044 eV/atom.

=====

> Among the records above, which one has the highest formation energy?

number 1